HfNiNO2: relaxed, PBE+U.

The space group is P4/mmm, No. 123. The calculation puts the total energy at -35.0 eV/f.u. The value obtained for the density is 6.76 Mg/m³.

a = 4.0468 Å, b = 4.0468 Å, c = 4.2505 Å
α = 90.00°, β = 90.00°, γ = 90.00°
Closest atoms and distances in Å follow each position.
Sites, in units of the cell vectors:
1 Hf 0.0000 0.0000 0.0000  4 O 2.02, 2 N 2.13
2 Ni 0.5000 0.5000 0.5000  4 N 2.86, 8 O 2.93
3 N 0.0000 0.0000 0.5000  2 Hf 2.13
4 O 0.0000 0.5000 0.0000  2 Hf 2.02
5 O 0.5000 0.0000 0.0000  2 Hf 2.02